Density functional theory data (PBEsol) for a relaxed YGaTe2N crystal.

Unit cell a=4.0432 b=6.0202 c=6.0202 alpha=90.00 beta=90.00 gamma=90.00
Last column: nearest neighbours and their distance in Å.
Sites, in units of the cell vectors:
Y  0.0000  0.0000  0.0000  2 N 2.02
Te  0.0000  0.0000  0.5000  2 Y 3.01
Te  0.0000  0.5000  0.0000  2 Y 3.01
N  0.5000  0.0000  0.0000  2 Y 2.02
Ga  0.5000  0.5000  0.5000  8 Te 3.63, 2 Ga 4.04

Summary:
Calculated total energy   -24.72 eV for the cell shown
Space-group type   P4/mmm (123)
DOS at the Fermi energy   5.3 states/eV/cell